1.
The following is a PBE-GGA calculation of a geometry-optimized NbSeI3 structure, from OQMD.

Cell: 8.231 8.231 13.816 Å, 93.94 93.94 127.17°
Sites, in units of the cell vectors:
Nb 0.007 0.129 0.156
Nb 0.129 0.007 0.656
Nb 0.871 0.993 0.344
Nb 0.993 0.871 0.844
Se 0.036 0.663 0.705
Se 0.337 0.964 0.795
Se 0.663 0.036 0.205
Se 0.964 0.337 0.295
I 0.055 0.247 0.533
I 0.198 0.298 0.806
I 0.226 0.511 0.090
I 0.247 0.055 0.033
I 0.298 0.198 0.306
I 0.489 0.774 0.410
I 0.511 0.226 0.590
I 0.702 0.802 0.694
I 0.753 0.945 0.967
I 0.774 0.489 0.910
I 0.802 0.702 0.194
I 0.945 0.753 0.467

Summary:
The value obtained for the energy is -83.21 eV per cell. The mass density is 4.98 g/cm³.

2.
The following is a PBE-GGA calculation of a geometry-optimized NbTe2Se2I6 structure, from OQMD.

Cell: 11.359 12.221 15.593 Å, 98.57 96.25 117.33°
Sites, in units of the cell vectors:
Nb 0.031 0.491 0.251
Nb 0.166 0.415 0.750
Nb 0.834 0.585 0.250
Nb 0.969 0.509 0.749
Te 0.042 0.775 0.762
Te 0.095 0.152 0.747
Te 0.322 0.649 0.263
Te 0.455 0.575 0.755
Te 0.545 0.425 0.245
Te 0.678 0.351 0.737
Te 0.905 0.848 0.253
Te 0.958 0.225 0.238
Se 0.009 0.390 0.867
Se 0.049 0.672 0.377
Se 0.125 0.534 0.632
Se 0.184 0.595 0.877
Se 0.816 0.405 0.123
Se 0.875 0.466 0.368
Se 0.951 0.328 0.623
Se 0.991 0.610 0.133
I 0.044 0.923 0.116
I 0.125 0.004 0.392
I 0.152 0.393 0.119
I 0.202 0.444 0.383
I 0.207 0.868 0.641
I 0.246 0.925 0.916
I 0.278 0.308 0.617
I 0.347 0.381 0.885
I 0.361 0.802 0.142
I 0.432 0.849 0.418
I 0.440 0.216 0.101
I 0.483 0.705 0.619
I 0.517 0.295 0.381
I 0.560 0.784 0.899
I 0.568 0.151 0.582
I 0.639 0.198 0.858
I 0.653 0.619 0.115
I 0.722 0.692 0.383
I 0.754 0.075 0.084
I 0.793 0.132 0.359
I 0.798 0.556 0.617
I 0.848 0.607 0.881
I 0.875 0.996 0.608
I 0.956 0.077 0.884

Summary:
The value obtained for the energy is -144.95 eV per cell. The mass density is 4.52 g/cm³.

3.
The following is a PBE-GGA calculation of a geometry-optimized Nb2Te6I structure, from OQMD.

Cell: 9.362 13.982 9.819 Å, 90.00 112.75 90.00°
Sites, in units of the cell vectors:
Nb 0.025 0.025 0.369
Nb 0.025 0.475 0.869
Nb 0.324 0.508 0.370
Nb 0.324 0.992 0.870
Nb 0.676 0.008 0.130
Nb 0.676 0.492 0.630
Nb 0.975 0.525 0.131
Nb 0.975 0.975 0.631
Te 0.046 0.065 0.910
Te 0.046 0.435 0.410
Te 0.125 0.688 0.271
Te 0.125 0.812 0.771
Te 0.150 0.138 0.643
Te 0.150 0.362 0.143
Te 0.258 0.598 0.090
Te 0.258 0.902 0.590
Te 0.416 0.585 0.661
Te 0.416 0.915 0.161
Te 0.456 0.162 0.028
Te 0.456 0.338 0.528
Te 0.544 0.662 0.472
Te 0.544 0.838 0.972
Te 0.584 0.085 0.839
Te 0.584 0.415 0.339
Te 0.742 0.098 0.410
Te 0.742 0.402 0.910
Te 0.850 0.638 0.857
Te 0.850 0.862 0.357
Te 0.875 0.188 0.229
Te 0.875 0.312 0.729
Te 0.954 0.565 0.590
Te 0.954 0.935 0.090
I 0.313 0.081 0.348
I 0.313 0.419 0.848
I 0.687 0.581 0.152
I 0.687 0.919 0.652

Summary:
The value obtained for the energy is -176.06 eV per cell. The mass density is 6.04 g/cm³.

4.
The following is a PBE-GGA calculation of a geometry-optimized Nb4Te17I4 structure, from OQMD.

Cell: 9.327 9.327 27.049 Å, 102.82 102.82 54.52°
Sites, in units of the cell vectors:
Nb 0.025 0.594 0.557
Nb 0.121 0.725 0.672
Nb 0.275 0.879 0.828
Nb 0.406 0.975 0.943
Nb 0.594 0.025 0.057
Nb 0.725 0.121 0.172
Nb 0.879 0.275 0.328
Nb 0.975 0.406 0.443
Te 0.043 0.078 0.907
Te 0.046 0.954 0.250
Te 0.078 0.043 0.407
Te 0.111 0.695 0.775
Te 0.146 0.402 0.646
Te 0.163 0.575 0.470
Te 0.168 0.231 0.867
Te 0.231 0.168 0.367
Te 0.260 0.295 0.010
Te 0.295 0.260 0.510
Te 0.305 0.889 0.725
Te 0.349 0.595 0.599
Te 0.384 0.463 0.178
Te 0.402 0.146 0.146
Te 0.405 0.651 0.901
Te 0.425 0.837 0.030
Te 0.463 0.384 0.678
Te 0.537 0.616 0.322
Te 0.575 0.163 0.970
Te 0.595 0.349 0.099
Te 0.598 0.854 0.854
Te 0.616 0.537 0.822
Te 0.651 0.405 0.401
Te 0.695 0.111 0.275
Te 0.705 0.740 0.490
Te 0.740 0.705 0.990
Te 0.769 0.832 0.633
Te 0.832 0.769 0.133
Te 0.837 0.425 0.530
Te 0.854 0.598 0.354
Te 0.889 0.305 0.225
Te 0.922 0.957 0.593
Te 0.954 0.046 0.750
Te 0.957 0.922 0.093
I 0.025 0.764 0.944
I 0.236 0.975 0.556
I 0.302 0.402 0.295
I 0.402 0.302 0.795
I 0.598 0.698 0.205
I 0.698 0.598 0.705
I 0.764 0.025 0.444
I 0.975 0.236 0.056

Summary:
The value obtained for the energy is -216.22 eV per cell. The mass density is 5.46 g/cm³.

5.
The following is a PBE-GGA calculation of a geometry-optimized NbTe4I structure, from OQMD.

Cell: 8.079 16.072 13.460 Å, 90.00 98.76 90.00°
Sites, in units of the cell vectors:
Nb 0.243 0.244 0.244
Nb 0.243 0.256 0.744
Nb 0.245 0.249 0.995
Nb 0.245 0.251 0.495
Nb 0.755 0.749 0.505
Nb 0.755 0.751 0.005
Nb 0.757 0.744 0.256
Nb 0.757 0.756 0.756
Te 0.007 0.166 0.835
Te 0.007 0.334 0.335
Te 0.013 0.158 0.360
Te 0.013 0.342 0.860
Te 0.038 0.710 0.409
Te 0.038 0.790 0.909
Te 0.237 0.100 0.114
Te 0.237 0.400 0.614
Te 0.256 0.108 0.624
Te 0.256 0.392 0.124
Te 0.473 0.719 0.854
Te 0.473 0.781 0.354
Te 0.477 0.159 0.385
Te 0.477 0.341 0.885
Te 0.479 0.165 0.896
Te 0.479 0.335 0.396
Te 0.521 0.665 0.604
Te 0.521 0.835 0.104
Te 0.523 0.659 0.115
Te 0.523 0.841 0.615
Te 0.527 0.219 0.646
Te 0.527 0.281 0.146
Te 0.744 0.608 0.876
Te 0.744 0.892 0.376
Te 0.763 0.600 0.386
Te 0.763 0.900 0.886
Te 0.962 0.210 0.091
Te 0.962 0.290 0.591
Te 0.987 0.658 0.140
Te 0.987 0.842 0.640
Te 0.993 0.666 0.665
Te 0.993 0.834 0.165
I 0.129 0.534 0.882
I 0.129 0.966 0.382
I 0.380 0.530 0.356
I 0.380 0.970 0.856
I 0.620 0.030 0.144
I 0.620 0.470 0.644
I 0.871 0.034 0.618
I 0.871 0.466 0.118

Summary:
The value obtained for the energy is -209.70 eV per cell. The mass density is 5.62 g/cm³.

6.
The following is a PBE-GGA calculation of a geometry-optimized NbTe4I6 structure, from OQMD.

Cell: 8.256 11.452 12.316 Å, 111.56 107.60 98.20°
Sites, in units of the cell vectors:
Nb 0.013 0.147 0.042
Nb 0.987 0.853 0.958
Te 0.025 0.717 0.123
Te 0.084 0.339 0.302
Te 0.221 0.023 0.916
Te 0.288 0.056 0.157
Te 0.712 0.944 0.843
Te 0.779 0.977 0.084
Te 0.916 0.661 0.698
Te 0.975 0.283 0.877
I 0.169 0.734 0.608
I 0.203 0.241 0.746
I 0.232 0.684 0.938
I 0.297 0.398 0.141
I 0.343 0.850 0.343
I 0.365 0.303 0.475
I 0.635 0.697 0.525
I 0.657 0.150 0.657
I 0.703 0.602 0.859
I 0.768 0.316 0.062
I 0.797 0.759 0.254
I 0.831 0.266 0.392

Summary:
The value obtained for the energy is -69.68 eV per cell. The mass density is 4.58 g/cm³.

7.
The following is a PBE-GGA calculation of a geometry-optimized Nb3TlI6 structure, from OQMD.

Cell: 9.114 9.114 9.114 Å, 111.07 111.07 106.31°
Sites, in units of the cell vectors:
Nb 0.000 0.000 0.000
Nb 0.250 0.750 0.500
Nb 0.750 0.250 0.500
Tl 0.500 0.500 0.000
I 0.167 0.500 0.667
I 0.233 0.233 0.000
I 0.500 0.167 0.667
I 0.500 0.833 0.333
I 0.767 0.767 0.000
I 0.833 0.500 0.333

Summary:
The value obtained for the energy is -34.04 eV per cell. The mass density is 3.55 g/cm³.

8.
The following is a PBE-GGA calculation of a geometry-optimized ZrNbI6 structure, from OQMD.

Cell: 7.656 7.656 6.515 Å, 90.00 90.00 120.00°
Sites, in units of the cell vectors:
Zr 0.000 0.000 0.000
Nb 0.000 0.000 0.500
I 0.000 0.312 0.254
I 0.000 0.688 0.746
I 0.312 0.000 0.254
I 0.312 0.312 0.746
I 0.688 0.000 0.746
I 0.688 0.688 0.254

Summary:
The value obtained for the energy is -33.53 eV per cell. The mass density is 4.75 g/cm³.

9.
The following is a PBE-GGA calculation of a geometry-optimized NdI structure, from OQMD.

Cell: 3.912 3.912 4.771 Å, 90.00 90.00 120.00°
Sites, in units of the cell vectors:
Nd 0.000 0.000 0.000
I 0.333 0.667 0.500

Summary:
The value obtained for the energy is -8.15 eV per cell. The mass density is 7.12 g/cm³.

10.
The following is a PBE-GGA calculation of a geometry-optimized NdI structure, from OQMD.

Cell: 5.030 5.030 5.030 Å, 60.00 60.00 60.00°
Sites, in units of the cell vectors:
Nd 0.000 0.000 0.000
I 0.250 0.250 0.250

Summary:
The value obtained for the energy is -6.87 eV per cell. The mass density is 5.00 g/cm³.

11.
The following is a PBE-GGA calculation of a geometry-optimized NdI3 structure, from OQMD.

Cell: 14.782 4.214 10.989 Å, 90.00 90.00 90.00°
Sites, in units of the cell vectors:
Nd 0.230 0.250 0.057
Nd 0.270 0.750 0.557
Nd 0.730 0.250 0.443
Nd 0.770 0.750 0.943
I 0.114 0.250 0.559
I 0.132 0.750 0.885
I 0.144 0.750 0.242
I 0.356 0.250 0.742
I 0.368 0.250 0.385
I 0.386 0.750 0.059
I 0.614 0.250 0.941
I 0.632 0.750 0.615
I 0.644 0.750 0.258
I 0.856 0.250 0.758
I 0.868 0.250 0.115
I 0.886 0.750 0.441

Summary:
The value obtained for the energy is -59.97 eV per cell. The mass density is 5.09 g/cm³.

12.
The following is a PBE-GGA calculation of a geometry-optimized NdI structure, from OQMD.

Cell: 4.501 4.501 4.501 Å, 60.00 60.00 60.00°
Sites, in units of the cell vectors:
Nd 0.000 0.000 0.000
I 0.500 0.500 0.500

Summary:
The value obtained for the energy is -7.62 eV per cell. The mass density is 6.98 g/cm³.

13.
The following is a PBE-GGA calculation of a geometry-optimized Nd2SiNiI2 structure, from OQMD.

Cell: 4.211 4.211 12.097 Å, 90.00 90.00 120.00°
Sites, in units of the cell vectors:
Nd 0.000 0.000 0.000
Nd 0.000 0.000 0.309
Si 0.667 0.333 0.158
Ni 0.333 0.667 0.150
I 0.333 0.667 0.487
I 0.667 0.333 0.819

Summary:
The value obtained for the energy is -30.29 eV per cell. The mass density is 5.62 g/cm³.

14.
The following is a PBE-GGA calculation of a geometry-optimized NdSmNi2I2 structure, from OQMD.

Cell: 4.121 4.121 12.207 Å, 90.00 90.00 120.00°
Sites, in units of the cell vectors:
Nd 0.000 0.000 0.000
Sm 0.000 0.000 0.305
Ni 0.333 0.667 0.161
Ni 0.667 0.333 0.149
I 0.333 0.667 0.818
I 0.667 0.333 0.483

Summary:
The value obtained for the energy is -28.89 eV per cell. The mass density is 6.16 g/cm³.

15.
The following is a PBE-GGA calculation of a geometry-optimized TbNdNi2I2 structure, from OQMD.

Cell: 4.101 4.101 12.138 Å, 90.00 90.00 120.00°
Sites, in units of the cell vectors:
Tb 0.000 0.000 0.000
Nd 0.000 0.000 0.697
Ni 0.333 0.667 0.859
Ni 0.667 0.333 0.847
I 0.333 0.667 0.514
I 0.667 0.333 0.176

Summary:
The value obtained for the energy is -28.84 eV per cell. The mass density is 6.33 g/cm³.

16.
The following is a PBE-GGA calculation of a geometry-optimized Nd2I2O structure, from OQMD.

Cell: 7.874 7.874 7.874 Å, 123.00 75.07 135.49°
Sites, in units of the cell vectors:
Nd 0.102 0.174 0.276
Nd 0.398 0.674 0.071
Nd 0.602 0.326 0.929
Nd 0.898 0.826 0.724
I 0.138 0.634 0.772
I 0.362 0.134 0.495
I 0.638 0.866 0.505
I 0.862 0.366 0.228
O 0.250 0.250 0.000
O 0.750 0.750 0.000

Summary:
The value obtained for the energy is -52.79 eV per cell. The mass density is 6.63 g/cm³.

17.
The following is a PBE-GGA calculation of a geometry-optimized Nd3IO4 structure, from OQMD.

Cell: 4.053 4.053 9.521 Å, 90.00 90.00 90.00°
Sites, in units of the cell vectors:
Nd 0.000 0.000 0.000
Nd 0.500 0.500 0.256
Nd 0.500 0.500 0.744
I 0.000 0.000 0.500
O 0.000 0.500 0.151
O 0.000 0.500 0.849
O 0.500 0.000 0.151
O 0.500 0.000 0.849

Summary:
The value obtained for the energy is -59.96 eV per cell. The mass density is 6.62 g/cm³.